No. 1
VASP calculation (GGA-PBE) on a relaxed structure of Pm2TmPd.

The space group is P4/mmm (No. 123) and the conventional cell measures 5.351, 5.351 and 3.770 Å, with angles of 90.00, 90.00 and 90.00 degrees. The inequivalent atoms are Pm at (0.000, 0.500, 0.000), Tm at (0.000, 0.000, 0.500) and Pd at (0.500, 0.500, 0.500).

The value obtained for the energy above the most stable polymorph in this dataset is 0.163 eV/atom. The crystal system is tetragonal. The value obtained for the formation enthalpy at 0 K is -0.19 eV/atom. The total energy is -19.9 eV per cell. The calculation puts the density of states at the Fermi level at 4.26 states/eV/cell. The value obtained for the total magnetization is 0.000 μB/f.u.

No. 2
VASP calculation (GGA-PBE) on a relaxed structure of PmTmPd.

The space group is I4mm (No. 107) and the conventional cell measures 3.566, 3.566 and 12.264 Å, with angles of 90.00, 90.00 and 90.00 degrees. The inequivalent atoms are Pm at (0.000, 0.000, 0.000), Tm at (0.000, 0.000, 0.277) and Pd at (0.000, 0.000, 0.657).

The value obtained for the energy above the most stable polymorph in this dataset is 0.000 eV/atom. The crystal system is tetragonal. The value obtained for the formation enthalpy at 0 K is -0.54 eV/atom. The total energy is -32.1 eV per cell. The calculation puts the density of states at the Fermi level at 5.85 states/eV/cell. The value obtained for the total magnetization is 0.000 μB/f.u.

No. 3
VASP calculation (GGA-PBE) on a relaxed structure of Pm2TmPd.

The space group is P4/mmm (No. 123) and the conventional cell measures 3.678, 3.678 and 8.298 Å, with angles of 90.00, 90.00 and 90.00 degrees. The inequivalent atoms are Pm at (0.000, 0.000, 0.206), Tm at (0.500, 0.500, 0.500) and Pd at (0.500, 0.500, 0.000).

The value obtained for the energy above the most stable polymorph in this dataset is 0.024 eV/atom. The crystal system is tetragonal. The value obtained for the formation enthalpy at 0 K is -0.33 eV/atom. The total energy is -20.5 eV per cell. The calculation puts the density of states at the Fermi level at 5.03 states/eV/cell. The value obtained for the total magnetization is 0.000 μB/f.u.

No. 4
VASP calculation (GGA-PBE) on a relaxed structure of PmTm2Pd.

The space group is R-3m (No. 166, hexagonal axes) and the conventional cell measures 3.6644, 3.6644 and 29.1013 Å, with angles of 90.00, 90.00 and 120.00 degrees. The inequivalent atoms are Pm at (0.0000, 0.0000, 0.0000), Tm at (0.0000, 0.0000, 0.2311) and Pd at (0.0000, 0.0000, 0.5000).

The value obtained for the energy above the most stable polymorph in this dataset is 0.159 eV/atom. The crystal system is trigonal. The value obtained for the formation enthalpy at 0 K is -0.31 eV/atom. The total energy is -60.4 eV per cell. The calculation puts the density of states at the Fermi level at 11.85 states/eV/cell. The value obtained for the total magnetization is 0.000 μB/f.u.

No. 5
VASP calculation (GGA-PBE) on a relaxed structure of PmTmPd.

The space group is F-43m (No. 216) and the conventional cell measures 6.959, 6.959 and 6.959 Å, with angles of 90.00, 90.00 and 90.00 degrees. The inequivalent atoms are Pm at (0.000, 0.000, 0.000), Tm at (0.000, 0.000, 0.500) and Pd at (0.250, 0.250, 0.750).

The value obtained for the energy above the most stable polymorph in this dataset is 0.085 eV/atom. The crystal system is cubic. The value obtained for the formation enthalpy at 0 K is -0.45 eV/atom. The total energy is -63.1 eV per cell. The calculation puts the density of states at the Fermi level at 11.60 states/eV/cell. The value obtained for the total magnetization is 0.000 μB/f.u.

No. 6
VASP calculation (GGA-PBE) on a relaxed structure of PmTmPd.

The space group is P3m1 (No. 156) and the conventional cell measures 4.7689, 4.7689 and 3.9371 Å, with angles of 90.00, 90.00 and 120.00 degrees. The inequivalent atoms are Pm at (0.0000, 0.0000, 0.0000), Tm at (0.6667, 0.3333, 0.5247) and Pd at (0.3333, 0.6667, 0.3540).

The value obtained for the energy above the most stable polymorph in this dataset is 0.134 eV/atom. The crystal system is trigonal. The value obtained for the formation enthalpy at 0 K is -0.40 eV/atom. The total energy is -15.6 eV per cell. The calculation puts the density of states at the Fermi level at 2.32 states/eV/cell. The value obtained for the total magnetization is 0.000 μB/f.u.